# SrLaCo2, optimized geometry, DFT PBE-GGA
data_SrLaCo2
_chemical_formula_sum 'Sr3 La3 Co6'
_space_group_name_H-M_alt 'P 1'
_space_group_IT_number 1
_space_group_name_Hall 'P 1'
_cell_length_a 3.766
_cell_length_b 3.766
_cell_length_c 23.832
_cell_angle_alpha 90.00
_cell_angle_beta 90.00
_cell_angle_gamma 120.00
loop_
_atom_site_label
_atom_site_fract_x
_atom_site_fract_y
_atom_site_fract_z
Sr1 0.000 0.000 0.000
Sr2 0.333 0.667 0.667
Sr3 0.667 0.333 0.333
La1 0.000 0.000 0.500
La2 0.333 0.667 0.167
La3 0.667 0.333 0.833
Co1 0.000 0.000 0.242
Co2 0.000 0.000 0.758
Co3 0.333 0.667 0.425
Co4 0.333 0.667 0.908
Co5 0.667 0.333 0.092
Co6 0.667 0.333 0.575
# * space-group type: R-3m, No. 166
# * distance to the lowest polymorph of the same formula: 175.7 kJ/mol of formula units
# * energy relative to the elements: 0.53 eV per atom

# Pr5Nd3N8, optimized geometry, DFT PBE-GGA
data_Pr5Nd3N8
_chemical_formula_sum 'Pr5 Nd3 N8'
_space_group_name_H-M_alt 'P 1'
_space_group_IT_number 1
_space_group_name_Hall 'P 1'
_cell_length_a 7.355
_cell_length_b 7.355
_cell_length_c 7.355
_cell_angle_alpha 59.99
_cell_angle_beta 59.99
_cell_angle_gamma 59.99
loop_
_atom_site_label
_atom_site_fract_x
_atom_site_fract_y
_atom_site_fract_z
Pr1 0.000 0.000 0.000
Pr2 0.000 0.500 0.500
Pr3 0.500 0.000 0.500
Pr4 0.500 0.500 0.000
Pr5 0.500 0.500 0.500
Nd1 0.000 0.000 0.500
Nd2 0.000 0.500 0.000
Nd3 0.500 0.000 0.000
N1 0.249 0.249 0.249
N2 0.249 0.750 0.750
N3 0.250 0.250 0.751
N4 0.250 0.751 0.250
N5 0.750 0.249 0.750
N6 0.750 0.750 0.249
N7 0.751 0.250 0.250
N8 0.751 0.751 0.751
# * space-group type: R-3m, No. 166
# * energy relative to the elements, uncorrected: -1313.1 meV/atom

# LaIn2MoRh, optimized geometry, DFT PBE-GGA
data_LaIn2MoRh
_chemical_formula_sum 'La1 In2 Mo1 Rh1'
_space_group_name_H-M_alt 'P 1'
_space_group_IT_number 1
_space_group_name_Hall 'P 1'
_cell_length_a 5.254
_cell_length_b 5.254
_cell_length_c 5.068
_cell_angle_alpha 90.00
_cell_angle_beta 90.00
_cell_angle_gamma 90.00
loop_
_atom_site_label
_atom_site_fract_x
_atom_site_fract_y
_atom_site_fract_z
La1 0.000 0.000 0.000
In1 0.000 0.500 0.500
In2 0.500 0.000 0.500
Mo1 0.000 0.000 0.500
Rh1 0.500 0.500 0.000
# * space-group type: P4/mmm, No. 123
# * energy relative to the elements: 0.72 eV per atom

# KCdBiSe3, optimized geometry, DFT PBE-GGA
data_KCdBiSe3
_chemical_formula_sum 'K2 Cd2 Bi2 Se6'
_space_group_name_H-M_alt 'P 1'
_space_group_IT_number 1
_space_group_name_Hall 'P 1'
_cell_length_a 9.314
_cell_length_b 4.330
_cell_length_c 10.070
_cell_angle_alpha 90.00
_cell_angle_beta 104.41
_cell_angle_gamma 90.00
loop_
_atom_site_label
_atom_site_fract_x
_atom_site_fract_y
_atom_site_fract_z
K1 0.195 0.250 0.232
K2 0.805 0.750 0.768
Cd1 0.092 0.250 0.609
Cd2 0.908 0.750 0.391
Bi1 0.337 0.750 0.870
Bi2 0.663 0.250 0.130
Se1 0.121 0.250 0.879
Se2 0.212 0.750 0.518
Se3 0.444 0.750 0.152
Se4 0.556 0.250 0.848
Se5 0.788 0.250 0.482
Se6 0.879 0.750 0.121
# * space-group type: P2_1/m, No. 11
# * energy relative to the elements, uncorrected: -716.1 meV/atom

no.,mass density (g/cm3)
1,5.86
2,7.37
3,6.74
4,5.04